Cs2InAs | GGA-PBE | relaxed

Lattice parameters (Å, degrees): 6.1764 6.1764 6.1764 60.00 60.00 60.00
Fractional coordinates of all 4 atoms:
Cs (0.2500, 0.2500, 0.2500)
Cs (0.7500, 0.7500, 0.7500)
As (0.0000, 0.0000, 0.0000)
In (0.5000, 0.5000, 0.5000)

Values from the calculation:
Energy of formation ... 0.049 eV per atom
Fermi-level density of states ... 0.000 states/eV per atom
Volume ... 41.651 Å³ per atom
Raw total energy ... -2.22 eV/atom
Symmetry ... Fm-3m